# 1
Computed, not measured: an optimized crystal structure of ZrCdCl at the GGA-PBEsol level of DFT.

Output
The calculation puts the final energy at -4.70 eV per atom. The calculation puts the uncorrected formation energy at -601 meV per atom.

Unit cell a=3.1103 b=3.1103 c=13.9797 alpha=90.00 beta=90.00 gamma=90.00
Space group I4mm (No. 107)
Inequivalent atoms, fractional coordinates:
Zr (0.0000, 0.0000, 0.0000)
Cd (0.0000, 0.0000, 0.6499)
Cl (0.0000, 0.0000, 0.3875)

# 2
Computed, not measured: an optimized crystal structure of CrW3O12 at the GGA-PBEsol level of DFT.

Output
The calculation puts the final energy at -9.10 eV per atom. The calculation puts the uncorrected formation energy at -1939 meV per atom.

Unit cell a=5.2690 b=5.3239 c=7.4211 alpha=89.09 beta=89.49 gamma=89.54
Space group P1 (No. 1)
Inequivalent atoms, fractional coordinates:
Cr (0.0000, 0.0000, 0.0000)
W (0.0099, 0.0955, 0.5010)
W (0.4900, 0.5010, 0.0382)
W (0.4974, 0.5997, 0.5375)
O (0.0542, 0.0421, 0.2693)
O (0.2058, 0.3307, 0.0175)
O (0.2122, 0.7928, 0.5720)
O (0.2684, 0.8436, 0.9876)
O (0.2885, 0.2904, 0.5457)
O (0.4520, 0.5981, 0.2814)
O (0.5526, 0.5487, 0.7862)
O (0.7155, 0.2600, 0.0705)
O (0.7196, 0.8604, 0.5203)
O (0.7845, 0.3577, 0.4952)
O (0.7938, 0.7787, 0.0433)
O (0.9447, 0.0814, 0.7899)

# 3
Computed, not measured: an optimized crystal structure of SnMoN2O at the GGA-PBEsol level of DFT.

Output
The calculation puts the final energy at -6.69 eV per atom. The calculation puts the uncorrected formation energy at 980 meV per atom.

Unit cell a=4.0510 b=4.0510 c=3.9257 alpha=90.00 beta=90.00 gamma=90.00
Space group P4/mmm (No. 123)
Inequivalent atoms, fractional coordinates:
Sn (0.0000, 0.0000, 0.0000)
Mo (0.5000, 0.5000, 0.5000)
N (0.0000, 0.5000, 0.0000)
O (0.0000, 0.0000, 0.5000)

# 4
Computed, not measured: an optimized crystal structure of SrYZr2 at the GGA-PBEsol level of DFT.

Output
As for the formation energy: 1.7 eV/f.u. The calculation puts the final energy at -6.29 eV per atom.

Unit cell a=3.3238 b=5.9223 c=11.5421 alpha=90.00 beta=90.00 gamma=90.00
Space group Imm2 (No. 44)
Inequivalent atoms, fractional coordinates:
Sr (0.0000, 0.0000, 0.0000)
Y (0.0000, 0.5000, 0.7837)
Zr (0.0000, 0.0000, 0.5306)
Zr (0.0000, 0.5000, 0.2336)

# 5
Computed, not measured: an optimized crystal structure of MoSe3N at the GGA-PBEsol level of DFT.

Output
The calculation puts the final energy at -5.22 eV per atom. The calculation puts the uncorrected formation energy at 1149 meV per atom.

Unit cell a=4.8638 b=4.8638 c=4.8638 alpha=90.00 beta=90.00 gamma=90.00
Space group Pm-3m (No. 221)
Inequivalent atoms, fractional coordinates:
Mo (0.0000, 0.0000, 0.0000)
Se (0.0000, 0.0000, 0.5000)
N (0.5000, 0.5000, 0.5000)

# 6
Computed, not measured: an optimized crystal structure of InHgPb2 at the GGA-PBEsol level of DFT.

Output
As for the formation energy: 0.1 eV/f.u. The calculation puts the final energy at -2.87 eV per atom.

Unit cell a=5.9883 b=3.3793 c=10.7592 alpha=90.00 beta=96.66 gamma=90.00
Space group C2/m (No. 12)
Inequivalent atoms, fractional coordinates:
In (0.0000, 0.0000, 0.0000)
Hg (0.0000, 0.5000, 0.5000)
Pb (0.2427, 0.5000, 0.2547)

# 7
Computed, not measured: an optimized crystal structure of Co at the GGA-PBEsol level of DFT.

Output
As for the formation energy: 0.0 eV/f.u. The calculation puts the final energy at -7.72 eV per atom.

Unit cell a=3.4621 b=3.4621 c=3.4621 alpha=90.00 beta=90.00 gamma=90.00
Space group Fm-3m (No. 225)
Inequivalent atoms, fractional coordinates:
Co (0.0000, 0.0000, 0.0000)

# 8
Computed, not measured: an optimized crystal structure of Ti2CrO5 at the GGA-PBEsol level of DFT.

Output
The calculation puts the final energy at -9.31 eV per atom. The calculation puts the uncorrected formation energy at -2671 meV per atom.

Unit cell a=10.1561 b=4.9020 c=7.0438 alpha=90.00 beta=111.86 gamma=90.00
Space group C2/c (No. 15)
Inequivalent atoms, fractional coordinates:
Ti (0.1311, 0.0130, 0.2204)
Cr (0.0000, 0.5000, 0.0000)
O (0.0000, 0.3115, 0.2500)
O (0.0809, 0.1588, 0.9426)
O (0.1877, 0.3444, 0.6526)

| no. | calculated volume (A^3/atom) |
| --- | --- |
| 1 | 22.5 |
| 2 | 13.0 |
| 3 | 12.9 |
| 4 | 28.4 |
| 5 | 23.0 |
| 6 | 27.0 |
| 7 | 10.4 |
| 8 | 10.2 |